Record 1
LiCeP4O12 | GGA-PBEsol | optimized geometry

Unit cell a=7.081 b=8.984 c=9.013 alpha=66.45 beta=66.87 gamma=66.79
Atoms (fractional coordinates):
Li: 0.201 0.250 0.750
Li: 0.799 0.750 0.250
Ce: 0.699 0.250 0.750
Ce: 0.301 0.750 0.250
P: 0.489 0.299 0.404
P: 0.192 0.201 0.096
P: 0.511 0.701 0.596
P: 0.808 0.799 0.904
P: 0.078 0.387 0.337
P: 0.803 0.113 0.163
P: 0.922 0.613 0.663
P: 0.197 0.887 0.837
O: 0.475 0.267 0.584
O: 0.326 0.233 0.916
O: 0.525 0.733 0.416
O: 0.674 0.767 0.084
O: 0.513 0.464 0.278
O: 0.255 0.036 0.222
O: 0.487 0.536 0.722
O: 0.745 0.964 0.778
O: 0.155 0.358 0.156
O: 0.669 0.142 0.344
O: 0.845 0.642 0.844
O: 0.331 0.858 0.656
O: 0.276 0.267 0.413
O: 0.956 0.233 0.087
O: 0.724 0.733 0.587
O: 0.044 0.767 0.913
O: 0.890 0.322 0.451
O: 0.663 0.178 0.049
O: 0.110 0.678 0.549
O: 0.337 0.822 0.951
O: 0.058 0.572 0.299
O: 0.929 0.928 0.201
O: 0.942 0.428 0.701
O: 0.071 0.072 0.799

Output
Magnetic moment ... 1.0 μB per formula unit
ΔE_f (raw) ... -2442.5 meV per atom
VASP energy ... -7.7047 eV/atom

---

Record 2
Cr2CoSiC | GGA-PBEsol | optimized geometry

Unit cell a=4.069 b=4.256 c=4.256 alpha=90.00 beta=90.00 gamma=90.00
Atoms (fractional coordinates):
Cr: 0.000 0.000 0.500
Cr: 0.000 0.500 0.000
Si: 0.500 0.000 0.000
Co: 0.000 0.000 0.000
C: 0.500 0.500 0.500

Output
Magnetic moment ... 4.4 μB per formula unit
ΔE_f (raw) ... 1833.0 meV per atom
VASP energy ... -6.8893 eV/atom

---

Record 3
Mg5Sc3 | GGA-PBEsol | optimized geometry

Unit cell a=4.944 b=6.178 c=6.178 alpha=107.52 beta=90.00 gamma=90.00
Atoms (fractional coordinates):
Mg: 0.000 0.000 0.000
Mg: 0.000 0.000 0.500
Mg: 0.000 0.500 0.000
Mg: 0.500 0.251 0.251
Mg: 0.500 0.749 0.749
Sc: 0.000 0.500 0.500
Sc: 0.500 0.754 0.246
Sc: 0.500 0.246 0.754

Output
Magnetic moment ... 0.0 μB per formula unit
Energy relative to the elements ... -0.029 eV per atom
VASP energy ... -3.5789 eV/atom

---

Record 4
Tc2PW | GGA-PBEsol | optimized geometry

Unit cell a=2.966 b=4.248 c=4.383 alpha=90.00 beta=90.00 gamma=90.00
Atoms (fractional coordinates):
P: 0.000 0.500 0.500
Tc: 0.000 0.000 0.000
Tc: 0.500 0.000 0.500
W: 0.500 0.500 0.000

Output
Magnetic moment ... 0.0 μB per formula unit
Energy relative to the elements ... 0.073 eV per atom
VASP energy ... -10.4602 eV/atom

---

What is the formula in the second record?
Cr2CoSiC